No. 1
Compound: RbNbSe2Br
Source: Alexandria
Functional: PBE
Structure: relaxed

Results
Its electronic total energy is -2.71 eV per atom. Its uncorrected formation energy is 1.23 eV/atom. For the offset from the most stable computed form, the calculation gives 2083 meV/atom.

Unit cell a=5.796 b=5.796 c=5.850 alpha=90.00 beta=90.00 gamma=90.00
Space group P4/mmm (No. 123)
Symmetry-distinct sites (fractional):
Rb 0.000 0.000 0.000
Nb 0.500 0.500 0.500
Se 0.000 0.500 0.000
Br 0.000 0.000 0.500

***

No. 2
Compound: RbNbSe2Br
Source: Alexandria
Functional: PBE
Structure: relaxed

Results
Its electronic total energy is -4.79 eV per atom. Its uncorrected formation energy is -0.86 eV/atom. For the offset from the most stable computed form, the calculation gives 0 meV/atom.

Unit cell a=5.093 b=5.093 c=5.543 alpha=90.00 beta=90.00 gamma=90.00
Space group P4/mmm (No. 123)
Symmetry-distinct sites (fractional):
Rb 0.000 0.000 0.000
Nb 0.500 0.500 0.500
Se 0.000 0.500 0.500
Br 0.500 0.500 0.000

***

No. 3
Compound: Rb2NbSiBr6
Source: Alexandria
Functional: PBE
Structure: relaxed

Results
Its electronic total energy is -3.63 eV per atom. Its uncorrected formation energy is -0.88 eV/atom.

Unit cell a=7.747 b=7.747 c=10.946 alpha=90.00 beta=90.00 gamma=90.00
Space group I4/mmm (No. 139)
Symmetry-distinct sites (fractional):
Rb 0.000 0.500 0.250
Nb 0.000 0.000 0.000
Si 0.000 0.000 0.500
Br 0.000 0.000 0.250
Br 0.250 0.250 0.000

***

No. 4
Compound: Rb2TaNbBr6
Source: Alexandria
Functional: PBE
Structure: relaxed

Results
Its electronic total energy is -4.17 eV per atom. Its uncorrected formation energy is -0.78 eV/atom.

Unit cell a=10.798 b=10.798 c=10.798 alpha=90.00 beta=90.00 gamma=90.00
Space group Fm-3m (No. 225)
Symmetry-distinct sites (fractional):
Rb 0.250 0.250 0.250
Ta 0.000 0.000 0.000
Nb 0.000 0.000 0.500
Br 0.000 0.000 0.248